Density functional theory data (PBE-GGA) for a geometry-optimized SiAsC2 structure.

```
data_SiAsC2
_cell_length_a 7.1492
_cell_length_b 3.1276
_cell_length_c 5.2215
_cell_angle_alpha 90.00
_cell_angle_beta 102.71
_cell_angle_gamma 90.00
_symmetry_space_group_name_H-M 'C 1 m 1'
_symmetry_Int_Tables_number 8
loop_
_symmetry_equiv_pos_as_xyz
'x,y,z'
'x,-y,z'
'x+1/2,y+1/2,z'
'x+1/2,-y+1/2,z'
loop_
_atom_site_label
_atom_site_type_symbol
_atom_site_fract_x
_atom_site_fract_y
_atom_site_fract_z
Si1 Si 0.0000 0.0000 0.0000
As1 As 0.2804 0.5000 0.2976
C1 C 0.3660 0.0000 0.5325
C2 C 0.4330 0.0000 0.7953
```

Values from the calculation:
* calculated volume: 14.236 Å³ per atom
* calculated density: 3.70 g cm⁻³
* E: -52.0 eV per cell

=====

Density functional theory data (PBE-GGA) for a geometry-optimized Sm4InCu structure.

```
data_Sm4InCu
_cell_length_a 5.4351
_cell_length_b 7.1701
_cell_length_c 8.8395
_cell_angle_alpha 90.00
_cell_angle_beta 99.37
_cell_angle_gamma 90.00
_symmetry_space_group_name_H-M 'P 1 21/m 1'
_symmetry_Int_Tables_number 11
loop_
_symmetry_equiv_pos_as_xyz
'x,y,z'
'-x,-y,-z'
'-x,y+1/2,-z'
'x,-y+1/2,z'
loop_
_atom_site_label
_atom_site_type_symbol
_atom_site_fract_x
_atom_site_fract_y
_atom_site_fract_z
Sm1 Sm 0.1467 0.2500 0.0441
Sm2 Sm 0.2087 0.7500 0.3721
Sm3 Sm 0.3250 0.5198 0.7376
In1 In 0.2276 0.2500 0.4148
Cu1 Cu 0.3658 0.7500 0.0526
```

Values from the calculation:
* calculated volume: 28.324 Å³ per atom
* calculated density: 7.62 g cm⁻³
* ΔE_f: -0.197 eV/atom
* E: -53.8 eV per cell

=====

Density functional theory data (PBE-GGA) for a geometry-optimized Y2HoCd6 structure.

```
data_Y2HoCd6
_cell_length_a 8.5943
_cell_length_b 8.5943
_cell_length_c 3.4509
_cell_angle_alpha 90.00
_cell_angle_beta 90.00
_cell_angle_gamma 120.00
_symmetry_space_group_name_H-M 'P 6/m m m'
_symmetry_Int_Tables_number 191
_symmetry_space_group_name_Hall '-P 6 2'
loop_
_atom_site_label
_atom_site_type_symbol
_atom_site_fract_x
_atom_site_fract_y
_atom_site_fract_z
Y1 Y 0.3333 0.6667 0.0000
Ho1 Ho 0.0000 0.0000 0.0000
Cd1 Cd 0.0000 0.3329 0.5000
```

Values from the calculation:
* calculated volume: 24.526 Å³ per atom
* calculated density: 7.65 g cm⁻³
* ΔE_f: -0.328 eV/atom
* E: -25.9 eV per cell

=====

Density functional theory data (PBE-GGA) for a geometry-optimized Pr3TeS6 structure.

```
data_Pr3TeS6
_cell_length_a 11.0256
_cell_length_b 13.8416
_cell_length_c 6.9122
_cell_angle_alpha 90.00
_cell_angle_beta 90.00
_cell_angle_gamma 90.00
_symmetry_space_group_name_H-M 'C m c 21'
_symmetry_Int_Tables_number 36
loop_
_symmetry_equiv_pos_as_xyz
'x,y,z'
'-x,-y,z+1/2'
'-x,y,z'
'x,-y,z+1/2'
'x+1/2,y+1/2,z'
'-x+1/2,-y+1/2,z+1/2'
'-x+1/2,y+1/2,z'
'x+1/2,-y+1/2,z+1/2'
loop_
_atom_site_label
_atom_site_type_symbol
_atom_site_fract_x
_atom_site_fract_y
_atom_site_fract_z
Pr1 Pr 0.0000 0.0937 0.0000
Pr2 Pr 0.1889 0.3967 0.1055
Te1 Te 0.0000 0.3389 0.5824
S1 S 0.0000 0.2668 0.2519
S2 S 0.0000 0.4906 0.8519
S3 S 0.1573 0.2369 0.8085
S4 S 0.1640 0.0307 0.3015
```

Values from the calculation:
* calculated volume: 26.372 Å³ per atom
* calculated density: 4.68 g cm⁻³
* E: -226.8 eV per cell

=====

Density functional theory data (PBE-GGA) for a geometry-optimized KFeNi2 structure.

```
data_KFeNi2
_cell_length_a 2.6448
_cell_length_b 4.7151
_cell_length_c 4.9694
_cell_angle_alpha 90.00
_cell_angle_beta 90.00
_cell_angle_gamma 90.00
_symmetry_space_group_name_H-M 'P m m m'
_symmetry_Int_Tables_number 47
loop_
_symmetry_equiv_pos_as_xyz
'x,y,z'
'-x,-y,-z'
'-x,-y,z'
'x,y,-z'
'x,-y,-z'
'-x,y,z'
'-x,y,-z'
'x,-y,z'
loop_
_atom_site_label
_atom_site_type_symbol
_atom_site_fract_x
_atom_site_fract_y
_atom_site_fract_z
K1 K 0.0000 0.0000 0.0000
Fe1 Fe 0.5000 0.0000 0.5000
Ni1 Ni 0.0000 0.5000 0.5000
Ni2 Ni 0.5000 0.5000 0.0000
```

Values from the calculation:
* calculated volume: 15.493 Å³ per atom
* calculated density: 5.69 g cm⁻³
* ΔE_f: 1.104 eV/atom
* E: -16.7 eV per cell

=====

Density functional theory data (PBE-GGA) for a geometry-optimized PrBi3Pd6 structure.

```
data_PrBi3Pd6
_cell_length_a 12.1910
_cell_length_b 12.1910
_cell_length_c 5.4588
_cell_angle_alpha 90.00
_cell_angle_beta 90.00
_cell_angle_gamma 120.00
_symmetry_space_group_name_H-M 'R 3 m'
_symmetry_Int_Tables_number 160
_symmetry_space_group_name_Hall 'R 3 -2"'
loop_
_atom_site_label
_atom_site_type_symbol
_atom_site_fract_x
_atom_site_fract_y
_atom_site_fract_z
Pr1 Pr 0.0000 0.0000 0.0000
Bi1 Bi 0.0569 0.5285 0.9993
Pd1 Pd 0.0532 0.5266 0.4983
Pd2 Pd 0.1528 0.0764 0.5266
```

Values from the calculation:
* calculated volume: 23.420 Å³ per atom
* calculated density: 9.97 g cm⁻³
* ΔE_f: -0.253 eV/atom
* E: -150.3 eV per cell

=====

Density functional theory data (PBE-GGA) for a geometry-optimized Ba2TlC structure.

```
data_Ba2TlC
_cell_length_a 8.6067
_cell_length_b 8.6067
_cell_length_c 7.6323
_cell_angle_alpha 90.00
_cell_angle_beta 90.00
_cell_angle_gamma 90.00
_symmetry_space_group_name_H-M 'I -4 2 d'
_symmetry_Int_Tables_number 122
_symmetry_space_group_name_Hall 'I -4 2bw'
loop_
_atom_site_label
_atom_site_type_symbol
_atom_site_fract_x
_atom_site_fract_y
_atom_site_fract_z
Ba1 Ba 0.1522 0.7500 0.1250
Tl1 Tl 0.0000 0.0000 0.5000
C1 C 0.0000 0.0000 0.0000
```

Values from the calculation:
* calculated volume: 35.335 Å³ per atom
* calculated density: 5.77 g cm⁻³
* ΔE_f: 0.602 eV/atom
* E: -52.1 eV per cell

=====

Density functional theory data (PBE-GGA) for a geometry-optimized Ni2GeBi2 structure.

```
data_Ni2GeBi2
_cell_length_a 6.8193
_cell_length_b 6.8193
_cell_length_c 4.1813
_cell_angle_alpha 90.00
_cell_angle_beta 90.00
_cell_angle_gamma 90.00
_symmetry_space_group_name_H-M 'P 4/m b m'
_symmetry_Int_Tables_number 127
_symmetry_space_group_name_Hall '-P 4 2ab'
loop_
_atom_site_label
_atom_site_type_symbol
_atom_site_fract_x
_atom_site_fract_y
_atom_site_fract_z
Ni1 Ni 0.1345 0.3655 0.0000
Ge1 Ge 0.0000 0.0000 0.0000
Bi1 Bi 0.1703 0.6703 0.5000
```

Values from the calculation:
* calculated volume: 19.444 Å³ per atom
* calculated density: 10.38 g cm⁻³
* ΔE_f: 0.166 eV/atom
* E: -46.2 eV per cell

=====

Density functional theory data (PBE-GGA) for a geometry-optimized NaIn2SnRu structure.

```
data_NaIn2SnRu
_cell_length_a 5.2203
_cell_length_b 5.2203
_cell_length_c 5.1046
_cell_angle_alpha 90.00
_cell_angle_beta 90.00
_cell_angle_gamma 90.00
_symmetry_space_group_name_H-M 'P 4/m m m'
_symmetry_Int_Tables_number 123
_symmetry_space_group_name_Hall '-P 4 2'
loop_
_atom_site_label
_atom_site_type_symbol
_atom_site_fract_x
_atom_site_fract_y
_atom_site_fract_z
Na1 Na 0.0000 0.0000 0.0000
In1 In 0.0000 0.5000 0.5000
Sn1 Sn 0.5000 0.5000 0.0000
Ru1 Ru 0.5000 0.5000 0.5000
```

Values from the calculation:
* calculated volume: 27.821 Å³ per atom
* calculated density: 5.64 g cm⁻³
* ΔE_f: -0.023 eV/atom
* E: -20.2 eV per cell

=====

Density functional theory data (PBE-GGA) for a geometry-optimized CuSiNi structure.

```
data_CuSiNi
_cell_length_a 2.9770
_cell_length_b 2.9770
_cell_length_c 7.8349
_cell_angle_alpha 90.00
_cell_angle_beta 90.00
_cell_angle_gamma 90.00
_symmetry_space_group_name_H-M 'I 4 m m'
_symmetry_Int_Tables_number 107
_symmetry_space_group_name_Hall 'I 4 -2'
loop_
_atom_site_label
_atom_site_type_symbol
_atom_site_fract_x
_atom_site_fract_y
_atom_site_fract_z
Cu1 Cu 0.0000 0.0000 0.0000
Si1 Si 0.0000 0.0000 0.3284
Ni1 Ni 0.0000 0.0000 0.6806
```

Values from the calculation:
* calculated volume: 11.573 Å³ per atom
* calculated density: 7.19 g cm⁻³
* E: -31.9 eV per cell

=====

Density functional theory data (PBE-GGA) for a geometry-optimized MnTlBr2 structure.

```
data_MnTlBr2
_cell_length_a 4.0143
_cell_length_b 6.4057
_cell_length_c 9.3359
_cell_angle_alpha 90.00
_cell_angle_beta 90.00
_cell_angle_gamma 90.00
_symmetry_space_group_name_H-M 'C m m 2'
_symmetry_Int_Tables_number 35
loop_
_symmetry_equiv_pos_as_xyz
'x,y,z'
'-x,-y,z'
'-x,y,z'
'x,-y,z'
'x+1/2,y+1/2,z'
'-x+1/2,-y+1/2,z'
'-x+1/2,y+1/2,z'
'x+1/2,-y+1/2,z'
loop_
_atom_site_label
_atom_site_type_symbol
_atom_site_fract_x
_atom_site_fract_y
_atom_site_fract_z
Mn1 Mn 0.0000 0.0000 0.0000
Tl1 Tl 0.0000 0.5000 0.2334
Br1 Br 0.0000 0.0000 0.4540
Br2 Br 0.0000 0.5000 0.8329
```

Values from the calculation:
* calculated volume: 30.009 Å³ per atom
* calculated density: 5.80 g cm⁻³
* E: -31.1 eV per cell

=====

Density functional theory data (PBE-GGA) for a geometry-optimized KNaY3 structure.

```
data_KNaY3
_cell_length_a 5.8793
_cell_length_b 5.8793
_cell_length_c 5.8793
_cell_angle_alpha 90.00
_cell_angle_beta 90.00
_cell_angle_gamma 90.00
_symmetry_space_group_name_H-M 'P m -3 m'
_symmetry_Int_Tables_number 221
_symmetry_space_group_name_Hall '-P 4 2 3'
loop_
_atom_site_label
_atom_site_type_symbol
_atom_site_fract_x
_atom_site_fract_y
_atom_site_fract_z
K1 K 0.0000 0.0000 0.0000
Na1 Na 0.5000 0.5000 0.5000
Y1 Y 0.0000 0.5000 0.5000
```

Values from the calculation:
* calculated volume: 40.644 Å³ per atom
* calculated density: 2.69 g cm⁻³
* ΔE_f: 0.890 eV/atom
* E: -17.4 eV per cell